The following is a GGA-PBE calculation of a relaxed structure of Tl4Cd3In4, from the Alexandria database.

Lattice parameters (Å, degrees): 3.428 4.893 18.458 98.84 90.96 89.56
Element x y z (fractional)
Tl (0.829, 0.087, 0.182)
Tl (0.258, 0.277, 0.554)
Tl (0.742, 0.723, 0.446)
Tl (0.171, 0.913, 0.818)
Cd (0.374, 0.627, 0.264)
Cd (0.626, 0.373, 0.736)
Cd (0.001, 0.000, 0.000)
In (0.354, 0.538, 0.085)
In (0.646, 0.462, 0.915)
In (0.788, 0.823, 0.642)
In (0.211, 0.177, 0.358)

Results
- ΔH_f (0 K) (meV/atom) = 36
- space group = P-1
- mass density (g cm⁻³) = 8.76

The following is a GGA-PBE calculation of a relaxed structure of Ta2InPt, from the Alexandria database.

Lattice parameters (Å, degrees): 4.689 4.689 4.689 60.00 60.00 60.00
Element x y z (fractional)
In (0.500, 0.500, 0.500)
Pt (0.750, 0.750, 0.750)
Ta (0.000, 0.000, 0.000)
Ta (0.250, 0.250, 0.250)

Results
- ΔH_f (0 K) (meV/atom) = 95
- space group = F-43m
- mass density (g cm⁻³) = 15.30

The following is a GGA-PBE calculation of a relaxed structure of Cd2SbAs, from the Alexandria database.

Lattice parameters (Å, degrees): 6.598 6.598 7.435 63.66 63.66 90.00
Element x y z (fractional)
Sb (0.000, 0.000, 0.000)
Sb (0.750, 0.250, 0.500)
As (0.500, 0.500, 0.000)
As (0.250, 0.750, 0.500)
Cd (0.597, 0.125, 0.250)
Cd (0.153, 0.625, 0.250)
Cd (0.375, 0.403, 0.750)
Cd (0.875, 0.847, 0.750)

Results
- space group = I-42d
- formation energy (no corrections) (eV/atom) = 0.17
- mass density (g cm⁻³) = 5.55
- ΔE to the lowest computed polymorph (eV/f.u.) = 0.543

The following is a GGA-PBE calculation of a relaxed structure of TiCBrN2, from the Alexandria database.

Lattice parameters (Å, degrees): 3.855 3.846 3.855 90.00 90.00 90.00
Element x y z (fractional)
C (0.000, 0.500, 0.000)
N (0.000, 0.000, 0.500)
N (0.500, 0.000, 0.000)
Br (0.000, 0.000, 0.000)
Ti (0.500, 0.500, 0.500)

Results
- space group = P4/mmm
- formation energy (no corrections) (eV/atom) = 2.31
- mass density (g cm⁻³) = 4.87

The following is a GGA-PBE calculation of a relaxed structure of Dy6TlGe2Se3, from the Alexandria database.

Lattice parameters (Å, degrees): 4.140 8.420 9.401 105.77 102.72 90.00
Element x y z (fractional)
Dy (0.328, 0.909, 0.656)
Dy (0.671, 0.571, 0.342)
Dy (0.672, 0.091, 0.344)
Dy (0.000, 0.265, 0.000)
Dy (0.000, 0.735, 0.000)
Dy (0.329, 0.429, 0.658)
Tl (0.500, 0.000, 0.000)
Ge (0.836, 0.674, 0.672)
Ge (0.164, 0.326, 0.328)
Se (0.500, 0.500, 0.000)
Se (0.833, 0.172, 0.667)
Se (0.167, 0.828, 0.333)

Results
- space group = C2/m
- formation energy (no corrections) (eV/atom) = -1.24
- mass density (g cm⁻³) = 8.45

The following is a GGA-PBE calculation of a relaxed structure of Cs2TlReBr6, from the Alexandria database.

Lattice parameters (Å, degrees): 8.115 8.115 8.115 60.00 60.00 90.00
Site moments in Bohr magnetons follow the coordinates.
Element x y z (fractional)
Cs (0.750, 0.250, 0.500)  0.00
Cs (0.250, 0.750, 0.500)  0.00
Re (0.500, 0.500, 0.000)  1.54
Tl (0.000, 0.000, 0.000)  -0.01
Br (0.277, 0.277, 0.447)  0.02
Br (0.723, 0.723, 0.553)  0.02
Br (0.277, 0.277, 0.000)  0.02
Br (0.723, 0.723, 0.000)  0.02
Br (0.723, 0.277, 0.000)  0.03
Br (0.277, 0.723, 0.000)  0.03

Results
- space group = Fm-3m
- formation energy (no corrections) (eV/atom) = -0.90
- mass density (g cm⁻³) = 4.99

The following is a GGA-PBE calculation of a relaxed structure of LaCo2Te, from the Alexandria database.

Lattice parameters (Å, degrees): 3.505 3.505 6.367 90.00 90.00 90.00
Site moments in Bohr magnetons follow the coordinates.
Element x y z (fractional)
Co (0.000, 0.000, 0.954)  1.04
Co (0.000, 0.000, 0.546)  1.04
La (0.500, 0.500, 0.250)  -0.09
Te (0.500, 0.500, 0.750)  0.03

Results
- space group = P4/mmm
- formation energy (no corrections) (eV/atom) = 0.14
- mass density (g cm⁻³) = 8.16

The following is a GGA-PBE calculation of a relaxed structure of TaGeRh, from the Alexandria database.

Lattice parameters (Å, degrees): 2.889 4.316 4.316 120.00 90.00 90.00
Element x y z (fractional)
Ge (0.167, 0.000, 0.000)
Rh (0.166, 0.667, 0.333)
Ta (0.667, 0.333, 0.667)

Results
- ΔH_f (0 K) (meV/atom) = -511
- space group = P-6m2
- mass density (g cm⁻³) = 12.70

The following is a GGA-PBE calculation of a relaxed structure of Nd2Ho3Th, from the Alexandria database.

Lattice parameters (Å, degrees): 3.537 16.206 6.985 90.00 90.00 90.00
Element x y z (fractional)
Nd (0.500, 0.844, 0.249)
Nd (0.000, 0.344, 0.251)
Nd (0.000, 0.656, 0.749)
Nd (0.500, 0.156, 0.751)
Ho (0.000, 0.000, 0.000)
Ho (0.500, 0.500, 0.500)
Ho (0.500, 0.850, 0.745)
Ho (0.500, 0.150, 0.255)
Ho (0.000, 0.350, 0.755)
Ho (0.000, 0.650, 0.245)
Th (0.000, 0.000, 0.500)
Th (0.500, 0.500, 0.000)

Results
- ΔH_f (0 K) (meV/atom) = 129
- space group = Pnnm
- mass density (g cm⁻³) = 8.42
- ΔE to the lowest computed polymorph (eV/f.u.) = 0.528

The following is a GGA-PBE calculation of a relaxed structure of CrInGa2Cl6, from the Alexandria database.

Lattice parameters (Å, degrees): 6.704 8.090 10.181 89.99 86.23 90.01
Site moments in Bohr magnetons follow the coordinates.
Element x y z (fractional)
Cr (0.500, 0.000, 0.500)  2.84
Cr (0.000, 0.500, 0.000)  2.84
In (0.500, 0.000, 0.000)  0.00
In (0.000, 0.500, 0.500)  0.00
Ga (0.028, 0.936, 0.280)  0.01
Ga (0.528, 0.564, 0.780)  0.01
Ga (0.972, 0.064, 0.720)  0.01
Ga (0.472, 0.436, 0.220)  0.01
Cl (0.299, 0.652, 0.023)  -0.02
Cl (0.799, 0.848, 0.523)  -0.02
Cl (0.701, 0.348, 0.977)  -0.02
Cl (0.201, 0.152, 0.477)  -0.02
Cl (0.349, 0.763, 0.411)  -0.01
Cl (0.848, 0.737, 0.911)  -0.01
Cl (0.651, 0.237, 0.589)  -0.01
Cl (0.152, 0.263, 0.089)  -0.01
Cl (0.878, 0.583, 0.213)  -0.02
Cl (0.378, 0.917, 0.713)  -0.02
Cl (0.122, 0.417, 0.787)  -0.02
Cl (0.622, 0.083, 0.287)  -0.02

Results
- space group = P2_1/c
- formation energy (no corrections) (eV/atom) = -0.88
- mass density (g cm⁻³) = 3.13